No. 1
# PBE-GGA SmErPt6, optimized geometry
data_SmErPt6
_cell_length_a 4.135
_cell_length_b 4.135
_cell_length_c 8.269
_cell_angle_alpha 90.00
_cell_angle_beta 90.00
_cell_angle_gamma 90.00
_symmetry_space_group_name_H-M 'P 4/m m m'
_symmetry_Int_Tables_number 123
_symmetry_space_group_name_Hall '-P 4 2'
loop_
_atom_site_label
_atom_site_fract_x
_atom_site_fract_y
_atom_site_fract_z
Sm1 0.000 0.000 0.000
Er1 0.000 0.000 0.500
Pt1 0.000 0.500 0.255
Pt2 0.500 0.500 0.000
Pt3 0.500 0.500 0.500
# V = 17.67 Å³ per atom
# formation energy from the elements = -0.9989 eV/atom
# uncorrected energy = -6.6898 eV per atom
# DOS(E_F) = 0.94 states/eV per atom


No. 2
# PBE-GGA OsSCl, optimized geometry
data_OsSCl
_cell_length_a 5.304
_cell_length_b 3.496
_cell_length_c 6.880
_cell_angle_alpha 90.00
_cell_angle_beta 95.00
_cell_angle_gamma 90.00
_symmetry_space_group_name_H-M 'C 1 m 1'
_symmetry_Int_Tables_number 8
loop_
_symmetry_equiv_pos_as_xyz
'x,y,z'
'x,-y,z'
'x+1/2,y+1/2,z'
'x+1/2,-y+1/2,z'
loop_
_atom_site_label
_atom_site_fract_x
_atom_site_fract_y
_atom_site_fract_z
Os1 0.000 0.000 0.000
S1 0.166 0.500 0.191
Cl1 0.328 0.000 0.743
# V = 21.18 Å³ per atom
# uncorrected energy = -5.7962 eV per atom
# formation energy from raw total energies = -0.0615 eV/atom
# DOS(E_F) = 0.71 states/eV per atom


No. 3
# PBE-GGA ScTc2Ru, optimized geometry
data_ScTc2Ru
_cell_length_a 3.115
_cell_length_b 4.325
_cell_length_c 4.583
_cell_angle_alpha 90.00
_cell_angle_beta 90.00
_cell_angle_gamma 90.00
_symmetry_space_group_name_H-M 'P m m m'
_symmetry_Int_Tables_number 47
loop_
_symmetry_equiv_pos_as_xyz
'x,y,z'
'-x,-y,-z'
'-x,-y,z'
'x,y,-z'
'x,-y,-z'
'-x,y,z'
'-x,y,-z'
'x,-y,z'
loop_
_atom_site_label
_atom_site_fract_x
_atom_site_fract_y
_atom_site_fract_z
Sc1 0.000 0.000 0.000
Tc1 0.000 0.500 0.500
Tc2 0.500 0.000 0.500
Ru1 0.500 0.500 0.000
# distance to the lowest polymorph of the same formula = 0.000 eV/atom
# V = 15.43 Å³ per atom
# formation energy from the elements = -0.1180 eV/atom
# uncorrected energy = -9.2028 eV per atom
# DOS(E_F) = 0.79 states/eV per atom